A geometry-optimized CrSiTc structure, computed with PBE.

## Properties
As for the space-group type: Pmmn. As for the crystal system: orthorhombic. The value obtained for the formation energy (no corrections) is -0.39 eV per atom. For the electronic total energy, the calculation gives -53.2 eV/cell. The excess energy over the best structure of this formula in the dataset comes out at 0.00 eV/f.u. As for the theoretical density: 7.685 Mg/m³. The calculation puts the density of states at the Fermi level at 0.407 states/eV/atom.

The structure in POSCAR format:
```
CrSiTc
1.0
3.019 0.000 0.000
0.000 3.929 0.000
0.000 0.000 6.489
Cr Si Tc
2 2 2
Direct
0.250 0.250 0.004
0.750 0.750 0.996
0.250 0.750 0.284
0.750 0.250 0.716
0.250 0.750 0.662
0.750 0.250 0.338
```